VASP calculation (GGA-PBE) on a relaxed structure of CsTb2CuS4.

- Calculated volume: 24.63 Å³/atom
- VASP energy: -5.432 eV per atom
- Space group: Cmcm (63)

a = 7.345 Å, b = 7.345 Å, c = 13.876 Å
α = 90.00°, β = 90.00°, γ = 148.22°
Fractional positions:
S1 0.000 0.000 0.000
S2 0.000 0.000 0.500
S3 0.745 0.255 0.106
S4 0.745 0.255 0.394
S5 0.419 0.581 0.250
S6 0.255 0.745 0.894
S7 0.581 0.419 0.750
S8 0.255 0.745 0.606
Cs1 0.107 0.893 0.250
Cs2 0.893 0.107 0.750
Tb1 0.634 0.366 0.939
Tb2 0.366 0.634 0.061
Tb3 0.366 0.634 0.439
Tb4 0.634 0.366 0.561
Cu1 0.833 0.167 0.250
Cu2 0.167 0.833 0.750



VASP calculation (GGA-PBE) on a relaxed structure of Cs2Tb4Cu4S9.

- Calculated volume: 22.64 Å³/atom
- VASP energy: -5.211 eV per atom
- Space group: C2/m (12)

a = 7.319 Å, b = 7.319 Å, c = 16.166 Å
α = 108.01°, β = 108.01°, γ = 31.64°
Fractional positions:
Tb1 0.847 0.847 0.946
Tb2 0.269 0.269 0.397
Tb3 0.731 0.731 0.603
Tb4 0.153 0.153 0.054
Cu1 0.930 0.930 0.539
Cu2 0.070 0.070 0.461
Cu3 0.747 0.747 0.228
Cu4 0.253 0.253 0.772
S1 0.107 0.107 0.621
S2 0.500 0.500 0.000
S3 0.791 0.791 0.097
S4 0.163 0.163 0.224
S5 0.893 0.893 0.379
S6 0.641 0.641 0.427
S7 0.359 0.359 0.573
S8 0.837 0.837 0.776
S9 0.209 0.209 0.903
Cs1 0.528 0.528 0.771
Cs2 0.472 0.472 0.229



VASP calculation (GGA-PBE) on a relaxed structure of CsCuTcS3.

- Calculated volume: 22.41 Å³/atom
- VASP energy: -5.108 eV per atom
- Space group: P2_1/m (11)

a = 8.210 Å, b = 3.710 Å, c = 9.675 Å
α = 90.00°, β = 114.13°, γ = 90.00°
Fractional positions:
S1 0.774 0.250 0.646
S2 0.130 0.250 0.612
S3 0.838 0.250 0.068
S4 0.870 0.750 0.388
S5 0.162 0.750 0.932
S6 0.226 0.750 0.354
Cu1 0.970 0.250 0.890
Cu2 0.030 0.750 0.110
Cs1 0.491 0.250 0.227
Cs2 0.509 0.750 0.773
Tc1 0.976 0.750 0.667
Tc2 0.024 0.250 0.333



VASP calculation (GGA-PBE) on a relaxed structure of CsCuTcS3.

- Calculated volume: 22.49 Å³/atom
- VASP energy: -5.111 eV per atom
- Space group: Pnma (62)

a = 14.969 Å, b = 3.721 Å, c = 9.689 Å
α = 90.00°, β = 90.00°, γ = 90.00°
Fractional positions:
Cs1 0.245 0.750 0.056
Cs2 0.755 0.250 0.944
Cs3 0.745 0.750 0.444
Cs4 0.255 0.250 0.556
S1 0.612 0.250 0.227
S2 0.112 0.250 0.273
S3 0.888 0.750 0.727
S4 0.065 0.750 0.566
S5 0.935 0.250 0.434
S6 0.388 0.750 0.773
S7 0.419 0.750 0.375
S8 0.435 0.250 0.066
S9 0.565 0.750 0.934
S10 0.581 0.250 0.625
S11 0.081 0.250 0.875
S12 0.919 0.750 0.125
Cu1 0.987 0.750 0.901
Cu2 0.513 0.250 0.401
Cu3 0.013 0.250 0.099
Cu4 0.487 0.750 0.599
Tc1 0.011 0.750 0.325
Tc2 0.511 0.750 0.175
Tc3 0.489 0.250 0.825
Tc4 0.989 0.250 0.675



What did the second record say?
VASP calculation (GGA-PBE) on a relaxed structure of Cs2Tb4Cu4S9.

- Calculated volume: 22.64 Å³/atom
- VASP energy: -5.211 eV per atom
- Space group: C2/m (12)

a = 7.319 Å, b = 7.319 Å, c = 16.166 Å
α = 108.01°, β = 108.01°, γ = 31.64°
Fractional positions:
Tb1 0.847 0.847 0.946
Tb2 0.269 0.269 0.397
Tb3 0.731 0.731 0.603
Tb4 0.153 0.153 0.054
Cu1 0.930 0.930 0.539
Cu2 0.070 0.070 0.461
Cu3 0.747 0.747 0.228
Cu4 0.253 0.253 0.772
S1 0.107 0.107 0.621
S2 0.500 0.500 0.000
S3 0.791 0.791 0.097
S4 0.163 0.163 0.224
S5 0.893 0.893 0.379
S6 0.641 0.641 0.427
S7 0.359 0.359 0.573
S8 0.837 0.837 0.776
S9 0.209 0.209 0.903
Cs1 0.528 0.528 0.771
Cs2 0.472 0.472 0.229



What is the formula in the third record?
CsCuTcS3